Record 1
Compound: Sr2Co2As2N
Source: Alexandria via LeMat-Bulk
Functional: PBE-GGA
Structure: relaxed

The space group is C2/m (No. 12) and the conventional cell measures 11.3729, 3.9906 and 7.1461 Å, with angles of 90.00, 125.40 and 90.00 degrees. The distinct sites, in fractional coordinates, are Sr at (0.0560, 0.0000, 0.3029), Co at (0.1743, 0.5000, 0.0692), As at (0.1912, 0.5000, 0.7504) and N at (0.0000, 0.5000, 0.0000).

The uncorrected formation energy is -0.691 eV per atom. The calculation puts the raw total energy at -5.720 eV per atom.

---

Record 2
Compound: SrCo2AsN
Source: Alexandria via LeMat-Bulk
Functional: PBE-GGA
Structure: relaxed

The space group is Cmcm (No. 63) and the conventional cell measures 3.9106, 10.9479 and 6.8339 Å, with angles of 90.00, 90.00 and 90.00 degrees. The distinct sites, in fractional coordinates, are Sr at (0.0000, 0.0495, 0.2500), Co at (0.0000, 0.3437, 0.0563), As at (0.0000, 0.2283, 0.7500) and N at (0.0000, 0.5000, 0.0000).

The uncorrected formation energy is -0.487 eV per atom. The calculation puts the raw total energy at -6.261 eV per atom.

---

Record 3
Compound: CoTe2AsN
Source: Alexandria via LeMat-Bulk
Functional: PBE-GGA
Structure: relaxed

The space group is P4/mmm (No. 123) and the conventional cell measures 5.2843, 5.2843 and 3.4302 Å, with angles of 90.00, 90.00 and 90.00 degrees. The distinct sites, in fractional coordinates, are Co at (0.0000, 0.0000, 0.0000), Te at (0.0000, 0.5000, 0.0000), As at (0.5000, 0.5000, 0.5000) and N at (0.0000, 0.0000, 0.5000).

The uncorrected formation energy is 0.390 eV per atom. The calculation puts the raw total energy at -4.883 eV per atom. The excess energy over the best structure of this formula in the dataset comes out at 0.0 meV per atom.

---

Record 4
Compound: CoTe2AsN
Source: Alexandria via LeMat-Bulk
Functional: PBE-GGA
Structure: relaxed

The space group is P4/mmm (No. 123) and the conventional cell measures 5.5492, 5.5492 and 3.5675 Å, with angles of 90.00, 90.00 and 90.00 degrees. The distinct sites, in fractional coordinates, are Co at (0.0000, 0.0000, 0.0000), Te at (0.0000, 0.5000, 0.5000), As at (0.5000, 0.5000, 0.5000) and N at (0.5000, 0.5000, 0.0000).

The uncorrected formation energy is 1.139 eV per atom. The calculation puts the raw total energy at -4.134 eV per atom. The excess energy over the best structure of this formula in the dataset comes out at 749.1 meV per atom.

---

Record 5
Compound: CoTeAsN2
Source: Alexandria via LeMat-Bulk
Functional: PBE-GGA
Structure: relaxed

The space group is P4/mmm (No. 123) and the conventional cell measures 3.6820, 3.6820 and 6.8255 Å, with angles of 90.00, 90.00 and 90.00 degrees. The distinct sites, in fractional coordinates, are Co at (0.0000, 0.0000, 0.0000), Te at (0.5000, 0.5000, 0.0000), As at (0.5000, 0.5000, 0.5000) and N at (0.0000, 0.5000, 0.5000).

The uncorrected formation energy is 1.422 eV per atom. The calculation puts the raw total energy at -4.887 eV per atom. The excess energy over the best structure of this formula in the dataset comes out at 213.6 meV per atom.

---

Record 6
Compound: CoTeAsN2
Source: Alexandria via LeMat-Bulk
Functional: PBE-GGA
Structure: relaxed

The space group is P4/mmm (No. 123) and the conventional cell measures 3.8026, 3.8026 and 5.4084 Å, with angles of 90.00, 90.00 and 90.00 degrees. The distinct sites, in fractional coordinates, are Co at (0.0000, 0.0000, 0.0000), Te at (0.0000, 0.0000, 0.5000), As at (0.5000, 0.5000, 0.5000) and N at (0.0000, 0.5000, 0.0000).

The uncorrected formation energy is 1.209 eV per atom. The calculation puts the raw total energy at -5.101 eV per atom. The excess energy over the best structure of this formula in the dataset comes out at 0.0 meV per atom.

---

Record 7
Compound: UCoAsN
Source: Alexandria via LeMat-Bulk
Functional: PBE-GGA
Structure: relaxed

The space group is P4/nmm (No. 129, origin choice 2) and the conventional cell measures 3.8433, 3.8433 and 7.8835 Å, with angles of 90.00, 90.00 and 90.00 degrees. The distinct sites, in fractional coordinates, are U at (0.2500, 0.2500, 0.1492), Co at (0.2500, 0.7500, 0.5000), As at (0.2500, 0.2500, 0.6660) and N at (0.2500, 0.7500, 0.0000).

The uncorrected formation energy is -0.970 eV per atom. The calculation puts the raw total energy at -8.812 eV per atom.

---

Record 8
Compound: YCoAs2N
Source: Alexandria via LeMat-Bulk
Functional: PBE-GGA
Structure: relaxed

The space group is P4/mmm (No. 123) and the conventional cell measures 5.3784, 5.3784 and 5.0070 Å, with angles of 90.00, 90.00 and 90.00 degrees. The distinct sites, in fractional coordinates, are Y at (0.0000, 0.0000, 0.0000), Co at (0.0000, 0.0000, 0.5000), As at (0.0000, 0.5000, 0.0000) and N at (0.5000, 0.5000, 0.5000).

The uncorrected formation energy is 2.155 eV per atom. The calculation puts the raw total energy at -4.084 eV per atom.

---

Record 9
Compound: NaCo2As
Source: Alexandria via LeMat-Bulk
Functional: PBE-GGA
Structure: relaxed

The space group is I-42d (No. 122) and the conventional cell measures 6.9907, 6.9907 and 5.4613 Å, with angles of 90.00, 90.00 and 90.00 degrees. The distinct sites, in fractional coordinates, are Na at (0.0000, 0.0000, 0.0000), Co at (0.1744, 0.2500, 0.6250) and As at (0.0000, 0.0000, 0.5000).

The calculation puts the raw total energy at -4.567 eV per atom.

---

Record 10
Compound: NaCoAs3
Source: Alexandria via LeMat-Bulk
Functional: PBE-GGA
Structure: relaxed

The space group is Pm-3m (No. 221) and the conventional cell measures 4.6905, 4.6905 and 4.6905 Å, with angles of 90.00, 90.00 and 90.00 degrees. The distinct sites, in fractional coordinates, are Na at (0.0000, 0.0000, 0.0000), Co at (0.5000, 0.5000, 0.5000) and As at (0.0000, 0.5000, 0.5000).

The calculation puts the raw total energy at -4.309 eV per atom. The excess energy over the best structure of this formula in the dataset comes out at 0.0 meV per atom.

---

Record 11
Compound: NaCo2As2
Source: Alexandria via LeMat-Bulk
Functional: PBE-GGA
Structure: relaxed

The space group is P4/mbm (No. 127) and the conventional cell measures 7.2106, 7.2106 and 2.8034 Å, with angles of 90.00, 90.00 and 90.00 degrees. The distinct sites, in fractional coordinates, are Na at (0.0000, 0.0000, 0.0000), Co at (0.1276, 0.3724, 0.0000) and As at (0.1565, 0.6565, 0.5000).

The calculation puts the raw total energy at -5.018 eV per atom.

---

Record 12
Compound: NaCoAs3
Source: Alexandria via LeMat-Bulk
Functional: PBE-GGA
Structure: relaxed

The space group is Pm-3m (No. 221) and the conventional cell measures 4.8576, 4.8576 and 4.8576 Å, with angles of 90.00, 90.00 and 90.00 degrees. The distinct sites, in fractional coordinates, are Na at (0.0000, 0.0000, 0.0000), Co at (0.5000, 0.5000, 0.5000) and As at (0.0000, 0.0000, 0.5000).

The calculation puts the raw total energy at -2.892 eV per atom. The excess energy over the best structure of this formula in the dataset comes out at 1417.0 meV per atom.

---

Number 1: density of states at the Fermi level 4.51 states/eV/f.u.. Number 2: density of states at the Fermi level 3.37 states/eV/f.u.. Number 3: density of states at the Fermi level 4.18 states/eV/f.u.. Number 4: density of states at the Fermi level 6.86 states/eV/f.u.. Number 5: density of states at the Fermi level 4.07 states/eV/f.u.. Number 6: density of states at the Fermi level 3.99 states/eV/f.u.. Number 7: density of states at the Fermi level 4.75 states/eV/f.u.. Number 8: density of states at the Fermi level 8.78 states/eV/f.u.. Number 9: density of states at the Fermi level 3.93 states/eV/f.u.. Number 10: density of states at the Fermi level 5.07 states/eV/f.u.. Number 11: density of states at the Fermi level 3.36 states/eV/f.u.. Number 12: density of states at the Fermi level 7.05 states/eV/f.u..